# 1
Sr2LiSe | PBE-GGA | optimized geometry

Cell lengths 6.926, 6.926, 6.926 Å; angles 144.11, 123.68, 68.61 degrees
Fractional positions:
1 Li 0.250 0.750 0.500
2 Se 0.750 0.250 0.500
3 Sr 0.936 0.936 0.000
4 Sr 0.564 0.564 0.000

Values from the calculation:
D(E_F) in states/eV/atom: 0.734
Final energy in eV per atom: -2.8371
Symmetry: Immm

---

# 2
SrLi2Se | PBE-GGA | optimized geometry

Cell lengths 6.783, 6.783, 6.783 Å; angles 148.10, 137.40, 54.19 degrees
Fractional positions:
1 Li 0.941 0.941 0.000
2 Li 0.559 0.559 0.000
3 Se 0.750 0.250 0.500
4 Sr 0.250 0.750 0.500

Values from the calculation:
D(E_F) in states/eV/atom: 0.416
Final energy in eV per atom: -2.9651
Symmetry: Immm